Lu2CuTc: relaxed, PBE.

Unit cell a=3.3914 b=3.3914 c=6.7745 alpha=90.00 beta=90.00 gamma=90.00
Closest atoms and distances in Å follow each position.
Element x y z (fractional)
Lu  0.0000  0.0000  0.2374  4 Tc 2.89, 4 Cu 2.99, 1 Lu 3.22
Lu  0.0000  0.0000  0.7626  4 Tc 2.89, 4 Cu 2.99, 1 Lu 3.22
Cu  0.5000  0.5000  0.5000  8 Lu 2.99
Tc  0.5000  0.5000  0.0000  8 Lu 2.89

Values from the calculation:
ΔH_f (0 K) ... -0.2032 eV/atom
Fermi-level density of states ... 3.6 states/eV/f.u.
Calculated volume ... 19.48 A^3/atom
Total energy ... -6.0792 eV per atom